Entry 1:
A relaxed structure of ErGaAg. Source: Alexandria via LeMat-Bulk, functional GGA-PBE.

* energy of formation from the pure elements: -472 meV/atom

Unit cell a=5.7088 b=5.7088 c=7.0990 alpha=52.24 beta=52.24 gamma=46.74
Last column: nearest neighbours and their distance in Å.
Positions (direct):
Er: 0.4649 0.4649 0.2905  6 Ag 3.11-3.26, 6 Ga 3.13-3.26
Ga: 0.8411 0.8411 0.1179  1 Ga 2.54, 2 Ag 2.62
Ag: 0.1733 0.1733 0.2791  3 Ga 2.62-2.92, 1 Ag 2.80
Er: 0.5351 0.5351 0.7095  6 Ag 3.11-3.26, 6 Ga 3.13-3.26
Ga: 0.1589 0.1589 0.8821  1 Ga 2.54, 2 Ag 2.62
Ag: 0.8267 0.8267 0.7209  3 Ga 2.62-2.92, 1 Ag 2.80


Entry 2:
A relaxed structure of Er3Ga9Ag2. Source: Alexandria via LeMat-Bulk, functional GGA-PBE.

* energy of formation from the pure elements: -422 meV/atom

Unit cell a=4.2193 b=8.3156 c=8.3156 alpha=75.08 beta=75.30 gamma=75.30
Last column: nearest neighbours and their distance in Å.
Positions (direct):
Ga: 0.3364 0.2869 0.0402  4 Ga 2.50-2.64, 1 Ag 2.62
Er: 0.3161 0.6839 0.6839  10 Ga 3.11-3.14, 2 Ag 3.17
Ga: 0.0000 0.5000 0.5000  4 Ga 2.88, 4 Ag 3.03, 4 Er 3.12
Ga: 0.1417 0.1345 0.5822  4 Ga 2.63-2.88, 2 Ag 2.76
Ga: 0.8583 0.8655 0.4178  4 Ga 2.63-2.88, 2 Ag 2.76
Er: 0.0000 0.0000 0.0000  12 Ga 3.19-3.31
Ga: 0.8583 0.4178 0.8655  4 Ga 2.63-2.88, 2 Ag 2.76
Ga: 0.6636 0.9598 0.7131  4 Ga 2.50-2.64, 1 Ag 2.62
Ga: 0.1417 0.5822 0.1345  4 Ga 2.63-2.88, 2 Ag 2.76
Ga: 0.3364 0.0402 0.2869  4 Ga 2.50-2.64, 1 Ag 2.62
Ga: 0.6636 0.7131 0.9598  4 Ga 2.50-2.64, 1 Ag 2.62
Ag: 0.5000 0.2851 0.7149  6 Ga 2.62-2.76
Ag: 0.5000 0.7149 0.2851  6 Ga 2.62-2.76
Er: 0.6839 0.3161 0.3161  10 Ga 3.11-3.14, 2 Ag 3.17


Entry 3:
A relaxed structure of ErGaAg. Source: Alexandria via LeMat-Bulk, functional GGA-PBE.

* energy of formation from the pure elements: -257 meV/atom

Unit cell a=4.6302 b=4.6302 c=4.6302 alpha=60.00 beta=60.00 gamma=60.00
Last column: nearest neighbours and their distance in Å.
Positions (direct):
Ag: 0.2500 0.2500 0.2500  4 Er 2.84, 4 Ga 2.84
Er: 0.0000 0.0000 0.0000  4 Ag 2.84
Ga: 0.5000 0.5000 0.5000  4 Ag 2.84


Entry 4:
A relaxed structure of Er2Ga3Ag5. Source: Alexandria via LeMat-Bulk, functional GGA-PBE.

* offset from the most stable computed form: 0.034 eV per atom
* energy of formation from the pure elements: -247 meV/atom

Unit cell a=5.7738 b=8.8525 c=8.8525 alpha=87.12 beta=70.97 gamma=70.97
Last column: nearest neighbours and their distance in Å.
Positions (direct):
Ag: 0.2500 0.5000 0.5000  4 Ga 2.68, 4 Ag 2.89-2.95
Ag: 0.6053 0.7399 0.0494  3 Ga 2.55-2.67, 2 Ag 2.85
Ag: 0.8947 0.9506 0.2601  3 Ga 2.55-2.67, 2 Ag 2.85
Ga: 0.6321 0.5059 0.2299  5 Ag 2.55-2.68
Er: 0.3679 0.8640 0.4002  4 Ag 3.05-3.22, 4 Ga 3.11-3.24
Er: 0.8679 0.4002 0.8640  4 Ag 3.05-3.22, 4 Ga 3.11-3.24
Ga: 0.7500 0.0000 0.0000  6 Ag 2.67-2.78, 2 Ga 2.89
Ag: 0.5075 0.2425 0.2425  3 Ga 2.64-2.78, 5 Ag 2.85-2.95
Er: 0.1321 0.5998 0.1360  4 Ag 3.05-3.22, 4 Ga 3.11-3.24
Ag: 0.4925 0.7575 0.7575  3 Ga 2.64-2.78, 5 Ag 2.85-2.95
Ga: 0.2500 0.0000 0.0000  6 Ag 2.67-2.78, 2 Ga 2.89
Ag: 0.9925 0.7575 0.7575  3 Ga 2.64-2.78, 5 Ag 2.85-2.95
Ga: 0.3679 0.4941 0.7701  5 Ag 2.55-2.68
Ga: 0.1321 0.2299 0.5059  5 Ag 2.55-2.68
Ga: 0.8679 0.7701 0.4941  5 Ag 2.55-2.68
Ag: 0.0075 0.2425 0.2425  3 Ga 2.64-2.78, 5 Ag 2.85-2.95
Ag: 0.1053 0.0494 0.7399  3 Ga 2.55-2.67, 2 Ag 2.85
Er: 0.6321 0.1360 0.5998  4 Ag 3.05-3.22, 4 Ga 3.11-3.24
Ag: 0.3947 0.2601 0.9506  3 Ga 2.55-2.67, 2 Ag 2.85
Ag: 0.7500 0.5000 0.5000  4 Ga 2.68, 4 Ag 2.89-2.95


Entry 5:
A relaxed structure of Er4Ga2Ag5. Source: Alexandria via LeMat-Bulk, functional GGA-PBE.

* energy of formation from the pure elements: -330 meV/atom

Unit cell a=3.7742 b=7.2841 c=8.8991 alpha=93.41 beta=90.00 gamma=90.00
Last column: nearest neighbours and their distance in Å.
Positions (direct):
Er: 0.5000 0.1988 0.8690  2 Ga 2.94, 8 Ag 3.07-3.21
Ag: 0.0000 0.5000 0.0000  4 Ag 2.86-2.96, 4 Er 3.07
Ga: 0.0000 0.0698 0.6327  1 Ga 2.51, 2 Ag 2.70-2.71
Er: 0.5000 0.7493 0.5821  4 Ga 3.01-3.04, 6 Ag 3.06-3.17
Ag: 0.0000 0.4423 0.6676  1 Ga 2.71, 1 Ag 2.96
Ag: 0.0000 0.5577 0.3324  1 Ga 2.71, 1 Ag 2.96
Er: 0.5000 0.2507 0.4179  4 Ga 3.01-3.04, 6 Ag 3.06-3.17
Er: 0.5000 0.8012 0.1310  2 Ga 2.94, 8 Ag 3.07-3.21
Ag: 0.0000 0.8452 0.8627  1 Ga 2.70, 1 Ag 2.86
Ga: 0.0000 0.9302 0.3673  1 Ga 2.51, 2 Ag 2.70-2.71
Ag: 0.0000 0.1548 0.1373  1 Ga 2.70, 1 Ag 2.86


Entry 6:
A relaxed structure of Er2Ga12Ag. Source: Alexandria via LeMat-Bulk, functional GGA-PBE.

* energy of formation from the pure elements: -236 meV/atom

Unit cell a=6.2216 b=6.2216 c=15.1630 alpha=90.00 beta=90.00 gamma=90.00
Last column: nearest neighbours and their distance in Å.
Positions (direct):
Ga: 0.8355 0.3355 0.5698  4 Ga 2.60-2.89
Ga: 0.6645 0.1645 0.4302  4 Ga 2.60-2.89
Ga: 0.0000 0.0000 0.1881  5 Ga 2.43-2.61
Ga: 0.2503 0.2497 0.0951  3 Ga 2.61-2.88, 2 Ag 2.63
Ga: 0.8355 0.6645 0.4302  4 Ga 2.60-2.89
Ag: 0.5000 0.0000 0.0000  8 Ga 2.63
Ga: 0.0000 0.0000 0.8119  5 Ga 2.43-2.61
Ga: 0.7503 0.7497 0.9049  3 Ga 2.61-2.88, 2 Ag 2.63
Ga: 0.1645 0.6645 0.5698  4 Ga 2.60-2.89
Ga: 0.2497 0.2503 0.9049  3 Ga 2.61-2.88, 2 Ag 2.63
Ga: 0.3355 0.8355 0.4302  4 Ga 2.60-2.89
Ga: 0.7497 0.7503 0.0951  3 Ga 2.61-2.88, 2 Ag 2.63
Ga: 0.2497 0.7497 0.0951  3 Ga 2.61-2.88, 2 Ag 2.63
Ga: 0.5000 0.5000 0.6515  5 Ga 2.43-2.63
Er: 0.0000 0.5000 0.2463  14 Ga 3.14-3.48
Er: 0.5000 0.0000 0.7537  14 Ga 3.14-3.48
Ga: 0.2503 0.7503 0.9049  3 Ga 2.61-2.88, 2 Ag 2.63
Er: 0.5000 0.0000 0.2463  14 Ga 3.14-3.48
Er: 0.0000 0.5000 0.7537  14 Ga 3.14-3.48
Ga: 0.7497 0.2497 0.9049  3 Ga 2.61-2.88, 2 Ag 2.63
Ga: 0.5000 0.5000 0.8119  5 Ga 2.43-2.61
Ga: 0.5000 0.5000 0.1881  5 Ga 2.43-2.61
Ga: 0.7503 0.2503 0.0951  3 Ga 2.61-2.88, 2 Ag 2.63
Ga: 0.3355 0.1645 0.5698  4 Ga 2.60-2.89
Ga: 0.0000 0.0000 0.3485  5 Ga 2.43-2.63
Ag: 0.0000 0.5000 0.0000  8 Ga 2.63
Ga: 0.6645 0.8355 0.5698  4 Ga 2.60-2.89
Ga: 0.1645 0.3355 0.4302  4 Ga 2.60-2.89
Ga: 0.0000 0.0000 0.6515  5 Ga 2.43-2.63
Ga: 0.5000 0.5000 0.3485  5 Ga 2.43-2.63


Entry 7:
A relaxed structure of ErGa2Ag6. Source: Alexandria via LeMat-Bulk, functional GGA-PBE.

* energy of formation from the pure elements: -103 meV/atom

Unit cell a=8.4737 b=7.3779 c=7.3779 alpha=83.18 beta=60.77 gamma=60.77
Last column: nearest neighbours and their distance in Å.
Positions (direct):
Ga: 0.9325 0.4052 0.2821  6 Ag 2.63-2.79, 1 Ga 2.75
Ga: 0.5675 0.7179 0.5948  6 Ag 2.63-2.79, 1 Ga 2.75
Er: 0.2500 0.1630 0.8370  4 Ga 3.03-3.05, 6 Ag 3.19-3.32
Ag: 0.6290 0.3108 0.5786  3 Ga 2.64-2.79, 4 Ag 2.79-2.91
Ag: 0.4797 0.7562 0.0069  1 Ga 2.77, 7 Ag 2.79-3.08
Ag: 0.2447 0.6587 0.8939  2 Ga 2.63-2.75, 5 Ag 2.82-2.94
Ag: 0.8710 0.4214 0.6892  3 Ga 2.64-2.79, 4 Ag 2.79-2.91
Ag: 0.1290 0.5786 0.3108  3 Ga 2.64-2.79, 4 Ag 2.79-2.91
Ag: 0.5203 0.2438 0.9931  1 Ga 2.77, 7 Ag 2.79-3.08
Ag: 0.7553 0.3413 0.1061  2 Ga 2.63-2.75, 5 Ag 2.82-2.94
Ag: 0.9797 0.0069 0.7562  1 Ga 2.77, 7 Ag 2.79-3.08
Er: 0.7500 0.8370 0.1630  4 Ga 3.03-3.05, 6 Ag 3.19-3.32
Ga: 0.4325 0.2821 0.4052  6 Ag 2.63-2.79, 1 Ga 2.75
Ag: 0.2553 0.1061 0.3413  2 Ga 2.63-2.75, 5 Ag 2.82-2.94
Ag: 0.0203 0.9931 0.2438  1 Ga 2.77, 7 Ag 2.79-3.08
Ag: 0.3710 0.6892 0.4214  3 Ga 2.64-2.79, 4 Ag 2.79-2.91
Ga: 0.0675 0.5948 0.7179  6 Ag 2.63-2.79, 1 Ga 2.75
Ag: 0.7447 0.8939 0.6587  2 Ga 2.63-2.75, 5 Ag 2.82-2.94


Entry 8:
A relaxed structure of ErGaAg2. Source: Alexandria via LeMat-Bulk, functional GGA-PBE.

* offset from the most stable computed form: 0.021 eV per atom
* energy of formation from the pure elements: -306 meV/atom

Unit cell a=4.8074 b=4.8074 c=4.8074 alpha=60.00 beta=60.00 gamma=60.00
Last column: nearest neighbours and their distance in Å.
Positions (direct):
Ga: 0.5000 0.5000 0.5000  8 Ag 2.94
Ag: 0.7500 0.7500 0.7500  4 Ga 2.94, 4 Er 2.94
Er: 0.0000 0.0000 0.0000  8 Ag 2.94
Ag: 0.2500 0.2500 0.2500  4 Er 2.94, 4 Ga 2.94


Entry 9:
A relaxed structure of Er2Ga3Ag5. Source: Alexandria via LeMat-Bulk, functional GGA-PBE.

* offset from the most stable computed form: 0.000 eV per atom
* energy of formation from the pure elements: -281 meV/atom

Unit cell a=4.5565 b=6.9738 c=12.5541 alpha=90.00 beta=100.46 gamma=90.00
Last column: nearest neighbours and their distance in Å.
Positions (direct):
Ga: 0.9475 0.4713 0.8951  5 Ag 2.63-2.77
Er: 0.4859 0.7740 0.9718  6 Ga 3.06-3.25, 6 Ag 3.11-3.36
Ag: 0.0501 0.5739 0.1002  4 Ga 2.63-2.77, 1 Ag 2.82
Er: 0.8278 0.2298 0.6555  3 Ga 3.03-3.25, 6 Ag 3.10-3.24
Ag: 0.9499 0.0739 0.8998  4 Ga 2.63-2.77, 1 Ag 2.82
Ag: 0.2767 0.4722 0.5535  3 Ga 2.54-2.61, 1 Ag 2.81
Er: 0.1722 0.7298 0.3445  3 Ga 3.03-3.25, 6 Ag 3.10-3.24
Ag: 0.8767 0.7633 0.7533  2 Ga 2.66-2.68, 1 Ag 2.82
Ag: 0.7233 0.9722 0.4465  3 Ga 2.54-2.61, 1 Ag 2.81
Ga: 0.3956 0.0749 0.7911  4 Ag 2.64-2.80
Ga: 0.7735 0.6548 0.5470  5 Ag 2.54-2.73
Ga: 0.0525 0.9713 0.1049  5 Ag 2.63-2.77
Ga: 0.2265 0.1548 0.4530  5 Ag 2.54-2.73
Ag: 0.1233 0.2633 0.2467  2 Ga 2.66-2.68, 1 Ag 2.82
Ag: 0.3904 0.4760 0.7808  3 Ga 2.68-2.80, 1 Ag 2.81
Ag: 0.6965 0.3746 0.3930  4 Ga 2.67-2.84, 1 Ag 2.88
Er: 0.5141 0.2740 0.0282  6 Ga 3.06-3.25, 6 Ag 3.11-3.36
Ga: 0.6044 0.5749 0.2089  4 Ag 2.64-2.80
Ag: 0.3035 0.8746 0.6070  4 Ga 2.67-2.84, 1 Ag 2.88
Ag: 0.6096 0.9760 0.2192  3 Ga 2.68-2.80, 1 Ag 2.81


Entry 10:
A relaxed structure of ErGaAg4. Source: Alexandria via LeMat-Bulk, functional GGA-PBE.

* energy of formation from the pure elements: -146 meV/atom

Unit cell a=5.5291 b=5.5291 c=5.5291 alpha=60.00 beta=60.00 gamma=60.00
Last column: nearest neighbours and their distance in Å.
Positions (direct):
Ag: 0.6251 0.1248 0.6251  6 Ag 2.76-2.77
Ag: 0.1248 0.6251 0.6251  6 Ag 2.76-2.77
Ag: 0.6251 0.6251 0.6251  6 Ag 2.76-2.77
Er: 0.2500 0.2500 0.2500  12 Ag 3.24, 4 Ga 3.39
Ag: 0.6251 0.6251 0.1248  6 Ag 2.76-2.77
Ga: 0.0000 0.0000 0.0000  12 Ag 3.24, 4 Er 3.39


It is found that the raw total energy values, taken in the order of the records, are -3.9525, -3.7525, -3.7372, -3.4934, -3.8355, -3.4564, -3.1835, -3.6294, -3.5275, -3.3117 eV per atom.